14
Lattice="6.417 0.000 0.000 0.000 6.417 0.000 0.000 0.000 10.904" Properties=species:S:1:pos:R:3 comment="Ho6Tm, relaxed, DFT PBE" e_above_lowest_polymorph_ev_per_atom=0.000 dft_energy_ev_per_cell=-60.047 vol_a3_per_atom=32.070 delta_e_f_ev_per_atom=0.2735 pbc="T T T"
Ho 1.080 4.289 6.957
Tm 3.208 0.000 0.000
Ho 0.000 0.000 9.381
Ho 1.080 2.128 3.947
Ho 3.208 3.208 1.523
Ho 2.128 1.080 6.957
Tm 0.000 3.208 0.000
Ho 4.289 5.337 6.957
Ho 0.000 0.000 1.523
Ho 5.337 4.289 3.947
Ho 4.289 1.080 3.947
Ho 5.337 2.128 6.957
Ho 3.208 3.208 9.381
Ho 2.128 5.337 3.947